This record from Alexandria via LeMat-Bulk describes an optimized crystal structure of Dy2WO6. The functional is GGA+U.

```
36
Lattice="7.9608 -5.5595 0.0000 7.9608 5.5595 0.0000 -1.4210 0.0000 5.2320" Properties=species:S:1:pos:R:3 pbc="T T T"
Dy 1.4959 1.2385 4.6375
Dy 6.8951 4.3597 3.9240
Dy 2.2064 -1.2385 2.0215
Dy 7.6056 1.3553 1.3080
Dy 6.8951 -1.3553 3.9240
Dy 12.2943 1.2385 3.2105
Dy 7.6056 -4.3597 1.3080
Dy 13.0048 -1.2385 0.5945
W 4.6139 1.7920 3.0609
W 9.1763 1.7920 4.7872
W 5.3244 -1.7920 0.4449
W 9.8868 -1.7920 2.1711
O 3.6091 2.4064 1.4512
O 1.3317 0.1568 0.4207
O 0.6212 -0.1568 3.0367
O 5.9931 2.9841 2.2212
O 5.1468 2.4065 4.7605
O 3.3062 0.4848 3.3672
O 4.0167 -0.4848 0.7512
O 9.2181 2.9841 0.3948
O 5.9347 0.4921 2.7750
O 8.6434 2.4065 3.0876
O 6.6452 -0.4921 0.1590
O 2.8986 -2.4064 4.0672
O 11.6021 2.4064 1.1648
O 7.8555 0.4921 5.0731
O 5.8573 -2.4065 2.1444
O 8.5660 -0.4921 2.4570
O 5.2826 -2.9841 4.8372
O 10.4840 0.4848 4.4808
O 11.1945 -0.4848 1.8648
O 9.3539 -2.4065 0.4716
O 8.5076 -2.9841 3.0108
O 13.8795 0.1568 2.1953
O 13.1690 -0.1568 4.8113
O 10.8916 -2.4064 3.7808
```

Properties
Magnetic moment   0.0 μB per formula unit
DFT total energy   -8.10 eV per atom
Energy above the most stable polymorph in this dataset   0.030 eV/atom